# 1
Here is a geometry-optimized VCu4Ni15 structure from the Alexandria database. Energies are from PBE.

Properties
DFT total energy, eV/atom: -5.637
ρ, Mg/m³: 8.9
Space group: P4/mmm

Cell and atoms, written as CIF:
```
data_VCu4Ni15
_chemical_formula_sum 'V1 Cu4 Ni15'
_symmetry_space_group_name_H-M 'P 1'
_symmetry_Int_Tables_number 1
_cell_length_a 3.551
_cell_length_b 3.551
_cell_length_c 17.638
_cell_angle_alpha 90.00
_cell_angle_beta 90.00
_cell_angle_gamma 90.00
loop_
_symmetry_equiv_pos_as_xyz
'x,y,z'
loop_
_atom_site_label
_atom_site_type_symbol
_atom_site_fract_x
_atom_site_fract_y
_atom_site_fract_z
Ni1 Ni 0.500 0.000 0.099
Ni2 Ni 0.000 0.500 0.500
Ni3 Ni 0.500 0.500 0.800
Ni4 Ni 0.000 0.500 0.099
Ni5 Ni 0.500 0.500 0.200
Ni6 Ni 0.500 0.000 0.300
Ni7 Ni 0.000 0.500 0.901
Ni8 Ni 0.500 0.500 0.400
Ni9 Ni 0.500 0.500 0.600
Ni10 Ni 0.500 0.000 0.500
Ni11 Ni 0.500 0.000 0.700
Ni12 Ni 0.500 0.000 0.901
Ni13 Ni 0.000 0.500 0.700
Ni14 Ni 0.500 0.500 0.000
Ni15 Ni 0.000 0.500 0.300
Cu1 Cu 0.000 0.000 0.400
Cu2 Cu 0.000 0.000 0.800
Cu3 Cu 0.000 0.000 0.600
Cu4 Cu 0.000 0.000 0.200
V1 V 0.000 0.000 0.000
```

# 2
Here is a geometry-optimized MnGaSN2 structure from the Alexandria database. Energies are from PBE.

Properties
DFT total energy, eV/atom: -6.173
ρ, Mg/m³: 4.7
Space group: P4/mmm
Energy relative to the lowest polymorph listed for this composition, meV per atom: 0

Cell and atoms, written as CIF:
```
data_MnGaSN2
_chemical_formula_sum 'Mn1 Ga1 S1 N2'
_symmetry_space_group_name_H-M 'P 1'
_symmetry_Int_Tables_number 1
_cell_length_a 3.601
_cell_length_b 3.601
_cell_length_c 5.067
_cell_angle_alpha 90.00
_cell_angle_beta 90.00
_cell_angle_gamma 90.00
loop_
_symmetry_equiv_pos_as_xyz
'x,y,z'
loop_
_atom_site_label
_atom_site_type_symbol
_atom_site_fract_x
_atom_site_fract_y
_atom_site_fract_z
Mn1 Mn 0.000 0.000 0.000
N1 N 0.000 0.500 0.000
N2 N 0.500 0.000 0.000
S1 S 0.000 0.000 0.500
Ga1 Ga 0.500 0.500 0.500
```

# 3
Here is a geometry-optimized CdPbCl2 structure from the Alexandria database. Energies are from PBE.

Properties
DFT total energy, eV/atom: -2.654
ρ, Mg/m³: 5.4
Space group: Immm
Energy relative to the lowest polymorph listed for this composition, meV per atom: 125

Cell and atoms, written as CIF:
```
data_CdPbCl2
_chemical_formula_sum 'Cd1 Pb1 Cl2'
_symmetry_space_group_name_H-M 'P 1'
_symmetry_Int_Tables_number 1
_cell_length_a 6.051
_cell_length_b 6.051
_cell_length_c 6.051
_cell_angle_alpha 139.98
_cell_angle_beta 120.84
_cell_angle_gamma 73.83
loop_
_symmetry_equiv_pos_as_xyz
'x,y,z'
loop_
_atom_site_label
_atom_site_type_symbol
_atom_site_fract_x
_atom_site_fract_y
_atom_site_fract_z
Cl1 Cl 0.957 0.957 0.000
Cl2 Cl 0.543 0.543 0.000
Pb1 Pb 0.750 0.250 0.500
Cd1 Cd 0.250 0.750 0.500
```

# 4
Here is a geometry-optimized CrAg2PbBr6 structure from the Alexandria database. Energies are from PBE.

Properties
DFT total energy, eV/atom: -3.457
ρ, Mg/m³: 5.3
Space group: P1

Cell and atoms, written as CIF:
```
data_CrAg2PbBr6
_chemical_formula_sum 'Cr1 Ag2 Pb1 Br6'
_symmetry_space_group_name_H-M 'P 1'
_symmetry_Int_Tables_number 1
_cell_length_a 7.121
_cell_length_b 7.117
_cell_length_c 7.969
_cell_angle_alpha 89.91
_cell_angle_beta 116.55
_cell_angle_gamma 119.79
loop_
_symmetry_equiv_pos_as_xyz
'x,y,z'
loop_
_atom_site_label
_atom_site_type_symbol
_atom_site_fract_x
_atom_site_fract_y
_atom_site_fract_z
Pb1 Pb 0.996 0.998 0.980
Br1 Br 0.860 0.734 0.257
Br2 Br 0.847 0.585 0.704
Br3 Br 0.134 0.261 0.704
Br4 Br 0.146 0.410 0.257
Br5 Br 0.458 0.871 0.704
Br6 Br 0.535 0.125 0.257
Ag1 Ag 0.365 0.182 0.530
Ag2 Ag 0.628 0.814 0.430
Cr1 Cr 0.997 0.498 0.481
```